(1)
Compound: ZrGaI5
Source: Alexandria
Functional: PBE
Structure: relaxed

abc: 8.0068 8.0068 11.1521
angles: 70.81 70.81 71.63
Atoms (fractional coordinates):
Zr 0.0000 0.0000 0.0000
Zr 0.0000 0.0000 0.5000
Ga 0.5055 0.4945 0.7500
Ga 0.4945 0.5055 0.2500
I 0.3179 0.1322 0.8658
I 0.3562 0.8012 0.5290
I 0.1322 0.3179 0.3658
I 0.8914 0.1086 0.7500
I 0.1988 0.6438 0.9710
I 0.8012 0.3562 0.0290
I 0.1086 0.8914 0.2500
I 0.8678 0.6821 0.6342
I 0.6438 0.1988 0.4710
I 0.6821 0.8678 0.1342

- Theoretical density: 4.3 g/cm³
- Formation energy from raw total energies: -0.672 eV/atom
- Size of the total moment: 0.000 μB/atom


(2)
Compound: Zr2GaI
Source: Alexandria
Functional: PBE
Structure: relaxed

abc: 6.0716 6.0716 8.0172
angles: 67.75 67.75 90.00
Atoms (fractional coordinates):
I 0.0000 0.0000 0.0000
I 0.7500 0.2500 0.5000
Ga 0.5000 0.5000 0.0000
Ga 0.2500 0.7500 0.5000
Zr 0.5726 0.1250 0.2500
Zr 0.1774 0.6250 0.2500
Zr 0.3750 0.4274 0.7500
Zr 0.8750 0.8226 0.7500

- Theoretical density: 5.0 g/cm³
- Formation energy from raw total energies: 0.443 eV/atom
- Size of the total moment: 0.000 μB/atom
- Energy above the most stable polymorph in this dataset: 514.6 meV per atom


(3)
Compound: Zr3GaI
Source: Alexandria
Functional: PBE
Structure: relaxed

abc: 5.1171 5.1171 5.1171
angles: 90.00 90.00 90.00
Atoms (fractional coordinates):
I 0.5000 0.5000 0.5000
Ga 0.0000 0.0000 0.0000
Zr 0.0000 0.5000 0.0000
Zr 0.0000 0.0000 0.5000
Zr 0.5000 0.0000 0.0000

- Theoretical density: 5.8 g/cm³
- Formation energy from raw total energies: 0.531 eV/atom
- Size of the total moment: 0.000 μB/atom
- Energy above the most stable polymorph in this dataset: 0.0 meV per atom


(4)
Compound: ZrGaI6
Source: Alexandria
Functional: PBE
Structure: relaxed

abc: 7.4053 7.4050 7.8703
angles: 61.93 61.94 60.00
Atoms (fractional coordinates):
Zr 0.0000 0.0000 0.0000
Ga 0.5000 0.5000 0.5000
I 0.0856 0.4012 0.7523
I 0.7608 0.0857 0.7524
I 0.5989 0.2391 0.2477
I 0.2392 0.9143 0.2476
I 0.9144 0.5988 0.2477
I 0.4011 0.7609 0.7523

- Theoretical density: 4.9 g/cm³
- Formation energy from raw total energies: -0.618 eV/atom
- Size of the total moment: 0.000 μB/atom


Look up the formation energy from raw total energies of the fourth one.
-0.618 eV/atom


The highest theoretical density belongs to which entry?
Zr3GaI


Number 4 is which compound?
ZrGaI6